Entry 1:
This record from the Alexandria database describes an optimized crystal structure of Ce5NiPb3. The functional is GGA-PBE.

Cell lengths 9.5794, 9.5794, 6.4880 Å; angles 90.00, 90.00, 120.00 degrees
With the nearest neighbours (Å) after each atom.
Positions (direct):
Ce: 0.0000 0.2428 0.2500  2 Ni 2.84
Ce: 0.0000 0.7572 0.7500  2 Ni 2.84
Ce: 0.2428 0.0000 0.2500  2 Ni 2.84
Ce: 0.2428 0.2428 0.7500  2 Ni 2.84
Ce: 0.3333 0.6667 0.0000  2 Ce 3.24, 6 Pb 3.36
Ce: 0.3333 0.6667 0.5000  2 Ce 3.24, 6 Pb 3.36
Ce: 0.6667 0.3333 0.0000  2 Ce 3.24, 6 Pb 3.36
Ce: 0.6667 0.3333 0.5000  2 Ce 3.24, 6 Pb 3.36
Ce: 0.7572 0.0000 0.7500  2 Ni 2.84
Ce: 0.7572 0.7572 0.2500  2 Ni 2.84
Ni: 0.0000 0.0000 0.0000  6 Ce 2.84
Ni: 0.0000 0.0000 0.5000  6 Ce 2.84
Pb: 0.0000 0.3934 0.7500  9 Ce 3.29-3.55
Pb: 0.0000 0.6066 0.2500  9 Ce 3.29-3.55
Pb: 0.3934 0.0000 0.7500  9 Ce 3.29-3.55
Pb: 0.3934 0.3934 0.2500  9 Ce 3.29-3.55
Pb: 0.6066 0.0000 0.2500  9 Ce 3.29-3.55
Pb: 0.6066 0.6066 0.7500  9 Ce 3.29-3.55

Results
As for the space group: P6_3/mcm (193). As for the energy of formation from the pure elements: -37 kJ/mol of atoms.

Entry 2:
This record from the Alexandria database describes an optimized crystal structure of CeNi2Pb. The functional is GGA-PBE.

Cell lengths 3.4755, 3.4755, 6.5883 Å; angles 90.00, 90.00, 90.00 degrees
With the nearest neighbours (Å) after each atom.
Positions (direct):
Ce: 0.0000 0.0000 0.0000  8 Ni 2.82
Ni: 0.5000 0.5000 0.2101  1 Ni 2.77, 4 Ce 2.82
Ni: 0.5000 0.5000 0.7899  1 Ni 2.77, 4 Ce 2.82
Pb: 0.0000 0.0000 0.5000  8 Ni 3.11, 2 Ce 3.29, 4 Pb 3.48

Results
As for the space group: P4/mmm (123). As for the energy of formation from the pure elements: -6 kJ/mol of atoms.

Entry 3:
This record from the Alexandria database describes an optimized crystal structure of CeNiPtPb. The functional is GGA-PBE.

Cell lengths 4.8637, 4.8637, 4.8637 Å; angles 60.00, 60.00, 60.00 degrees
With the nearest neighbours (Å) after each atom.
Positions (direct):
Ce: 0.0000 0.0000 0.0000  4 Ni 2.98, 4 Pt 2.98
Ni: 0.7500 0.7500 0.7500  4 Pb 2.98, 4 Ce 2.98
Pt: 0.2500 0.2500 0.2500  4 Pb 2.98, 4 Ce 2.98
Pb: 0.5000 0.5000 0.5000  4 Ni 2.98, 4 Pt 2.98

Results
As for the space group: F-43m (216). As for the energy of formation from the pure elements: -43 kJ/mol of atoms.

Entry 4:
This record from the Alexandria database describes an optimized crystal structure of CeNiPbS3. The functional is GGA-PBE.

Cell lengths 8.4380, 3.9639, 8.5589 Å; angles 90.00, 102.09, 90.00 degrees
With the nearest neighbours (Å) after each atom.
Positions (direct):
Ce: 0.1721 0.2500 0.1793  6 S 2.68-2.86
Ce: 0.8279 0.7500 0.8207  6 S 2.68-2.86
Ni: 0.4128 0.7500 0.4272  4 S 2.29-2.38
Ni: 0.5872 0.2500 0.5728  4 S 2.29-2.38
Pb: 0.3341 0.7500 0.7636  7 S 3.02-3.20, 1 Ni 3.09
Pb: 0.6659 0.2500 0.2364  7 S 3.02-3.20, 1 Ni 3.09
S: 0.0680 0.2500 0.8390  3 Ce 2.82-2.86
S: 0.3061 0.2500 0.4918  3 Ni 2.29-2.33
S: 0.3921 0.7500 0.1452  1 Ni 2.38
S: 0.6079 0.2500 0.8548  1 Ni 2.38
S: 0.6939 0.7500 0.5082  3 Ni 2.29-2.33
S: 0.9320 0.7500 0.1610  3 Ce 2.82-2.86

Results
As for the space group: P2_1/m (11). The calculation puts the formation energy (no corrections) at -1062 meV per atom.

Entry 5:
This record from the Alexandria database describes an optimized crystal structure of CeZnNiPb. The functional is GGA-PBE.

Cell lengths 4.8516, 4.8516, 4.8516 Å; angles 60.00, 60.00, 60.00 degrees
With the nearest neighbours (Å) after each atom.
Positions (direct):
Ce: 0.0000 0.0000 0.0000  4 Ni 2.97, 4 Zn 2.97
Zn: 0.2500 0.2500 0.2500  4 Ce 2.97, 4 Pb 2.97
Ni: 0.7500 0.7500 0.7500  4 Ce 2.97, 4 Pb 2.97
Pb: 0.5000 0.5000 0.5000  4 Ni 2.97, 4 Zn 2.97

Results
As for the space group: F-43m (216). As for the energy of formation from the pure elements: -21 kJ/mol of atoms.

Entry 6:
This record from the Alexandria database describes an optimized crystal structure of Ce2NiPd9. The functional is GGA-PBE.

Cell lengths 4.1258, 4.1258, 11.8714 Å; angles 90.00, 90.00, 90.00 degrees
With the nearest neighbours (Å) after each atom.
Positions (direct):
Ce: 0.0000 0.0000 0.1810  12 Pd 2.84-2.98
Ce: 0.0000 0.0000 0.8190  12 Pd 2.84-2.98
Ni: 0.0000 0.0000 0.5000  12 Pd 2.76-2.92
Pd: 0.0000 0.5000 0.0000  8 Pd 2.91-2.92, 4 Ce 2.98
Pd: 0.0000 0.5000 0.3460  2 Ni 2.76, 8 Pd 2.76-2.92, 2 Ce 2.84
Pd: 0.0000 0.5000 0.6540  2 Ni 2.76, 8 Pd 2.76-2.92, 2 Ce 2.84
Pd: 0.5000 0.0000 0.0000  8 Pd 2.91-2.92, 4 Ce 2.98
Pd: 0.5000 0.0000 0.3460  2 Ni 2.76, 8 Pd 2.76-2.92, 2 Ce 2.84
Pd: 0.5000 0.0000 0.6540  2 Ni 2.76, 8 Pd 2.76-2.92, 2 Ce 2.84
Pd: 0.5000 0.5000 0.1726  8 Pd 2.91, 4 Ce 2.92
Pd: 0.5000 0.5000 0.5000  8 Pd 2.76, 4 Ni 2.92
Pd: 0.5000 0.5000 0.8274  8 Pd 2.91, 4 Ce 2.92

Results
As for the space group: P4/mmm (123). As for the energy of formation from the pure elements: -51 kJ/mol of atoms.

Entry 7:
This record from the Alexandria database describes an optimized crystal structure of Ce2NiPd. The functional is GGA-PBE.

Cell lengths 9.8275, 9.8275, 9.8275 Å; angles 18.28, 18.28, 18.28 degrees
With the nearest neighbours (Å) after each atom.
Positions (direct):
Ce: 0.0922 0.0922 0.0922  1 Pd 2.67, 3 Ni 2.81
Ce: 0.9078 0.9078 0.9078  1 Pd 2.67, 3 Ni 2.81
Ni: 0.5000 0.5000 0.5000  6 Ce 2.81, 6 Ni 3.12
Pd: 0.0000 0.0000 0.0000  2 Ce 2.67

Results
As for the space group: R-3m (166). The energy above the most stable polymorph in this dataset comes out at 422 meV per atom. As for the energy of formation from the pure elements: -1 kJ/mol of atoms.

Entry 8:
This record from the Alexandria database describes an optimized crystal structure of CeNi4Pd8. The functional is GGA-PBE.

Cell lengths 6.7469, 6.7469, 6.7469 Å; angles 97.97, 97.97, 136.28 degrees
With the nearest neighbours (Å) after each atom.
Positions (direct):
Ce: 0.0000 0.0000 0.0000  12 Pd 3.05-3.17, 8 Ni 3.37
Ni: 0.0000 0.0000 0.5000  2 Ni 2.51, 8 Pd 2.56-2.68
Ni: 0.0000 0.5000 0.0000  2 Ni 2.51, 8 Pd 2.56-2.68
Ni: 0.5000 0.0000 0.0000  2 Ni 2.51, 8 Pd 2.56-2.68
Ni: 0.5000 0.5000 0.5000  2 Ni 2.51, 8 Pd 2.56-2.68
Pd: 0.0000 0.3443 0.3443  4 Ni 2.68, 5 Pd 2.75-2.85
Pd: 0.0000 0.6557 0.6557  4 Ni 2.68, 5 Pd 2.75-2.85
Pd: 0.2823 0.5000 0.7823  4 Ni 2.56, 6 Pd 2.73-2.85
Pd: 0.3443 0.0000 0.3443  4 Ni 2.68, 5 Pd 2.75-2.85
Pd: 0.5000 0.2823 0.7823  4 Ni 2.56, 6 Pd 2.73-2.85
Pd: 0.5000 0.7177 0.2177  4 Ni 2.56, 6 Pd 2.73-2.85
Pd: 0.6557 0.0000 0.6557  4 Ni 2.68, 5 Pd 2.75-2.85
Pd: 0.7177 0.5000 0.2177  4 Ni 2.56, 6 Pd 2.73-2.85

Results
As for the space group: I4/mmm (139). As for the energy of formation from the pure elements: -24 kJ/mol of atoms.